Record 1
Below is a geometry-optimized Sm2Y4Er2Tm structure, with properties calculated at the GGA-PBE level.

Properties
SG = C2/m (12)
energy of formation from the pure elements = 0.010 eV/atom
final energy = -48.80 eV/cell
calculated density = 6.68 g/cm³
N(E_F) = 12.86 states/eV/f.u.

abc: 3.594 9.509 9.547
angles: 115.31 90.00 100.89
Fractional positions:
Sm 0.851 0.702 0.333
Sm 0.149 0.298 0.667
Y 0.815 0.631 0.669
Y 0.185 0.369 0.331
Y 0.518 0.037 0.331
Y 0.482 0.963 0.669
Er 0.334 0.668 0.000
Er 0.666 0.332 0.000
Tm 0.000 0.000 0.000


Record 2
Below is a geometry-optimized Sm3Y2Er6Tm structure, with properties calculated at the GGA-PBE level.

Properties
SG = C2/m (12)
energy of formation from the pure elements = 0.022 eV/atom
final energy = -58.67 eV/cell
calculated density = 7.92 g/cm³
N(E_F) = 16.79 states/eV/f.u.

abc: 6.145 6.145 11.731
angles: 95.00 95.00 119.95
Fractional positions:
Sm 0.167 0.833 0.500
Sm 0.833 0.167 0.500
Sm 0.500 0.500 0.500
Y 0.333 0.667 0.000
Y 0.667 0.333 0.000
Er 0.918 0.585 0.752
Er 0.750 0.750 0.248
Er 0.082 0.415 0.248
Er 0.585 0.918 0.752
Er 0.250 0.250 0.752
Er 0.415 0.082 0.248
Tm 0.000 0.000 0.000


Record 3
Below is a geometry-optimized Sm2Y5ErTm structure, with properties calculated at the GGA-PBE level.

Properties
SG = I4/mcm (140)
energy of formation from the pure elements = 0.273 eV/atom
final energy = -96.68 eV/cell
calculated density = 6.18 g/cm³
N(E_F) = 12.54 states/eV/f.u.

abc: 8.583 8.583 9.956
angles: 115.53 115.53 90.00
Fractional positions:
Sm 0.118 0.382 0.000
Sm 0.618 0.118 0.000
Sm 0.382 0.882 0.000
Sm 0.882 0.618 0.000
Y 0.929 0.429 0.280
Y 0.649 0.149 0.720
Y 0.071 0.571 0.720
Y 0.149 0.071 0.720
Y 0.571 0.649 0.720
Y 0.851 0.929 0.280
Y 0.429 0.351 0.280
Y 0.351 0.851 0.280
Y 0.500 0.500 0.000
Y 0.000 0.000 0.000
Er 0.250 0.750 0.500
Er 0.750 0.250 0.500
Tm 0.250 0.250 0.500
Tm 0.750 0.750 0.500


Record 4
Below is a geometry-optimized SmY6ErTm2 structure, with properties calculated at the GGA-PBE level.

Properties
SG = C2/c (15)
energy of formation from the pure elements = 0.121 eV/atom
final energy = -111.61 eV/cell
calculated density = 6.12 g/cm³
N(E_F) = 15.88 states/eV/f.u.

abc: 9.517 8.763 8.763
angles: 117.15 93.68 93.68
Fractional positions:
Sm 0.250 0.973 0.027
Sm 0.750 0.027 0.973
Y 0.056 0.121 0.755
Y 0.444 0.245 0.879
Y 0.944 0.879 0.245
Y 0.556 0.755 0.121
Y 0.317 0.987 0.436
Y 0.183 0.564 0.013
Y 0.683 0.013 0.564
Y 0.817 0.436 0.987
Y 0.116 0.707 0.489
Y 0.384 0.511 0.293
Y 0.884 0.293 0.511
Y 0.616 0.489 0.707
Er 0.250 0.410 0.590
Er 0.750 0.590 0.410
Tm 0.451 0.801 0.698
Tm 0.049 0.302 0.199
Tm 0.549 0.199 0.302
Tm 0.951 0.698 0.801


Record 5
Below is a geometry-optimized SmY2ErTm5 structure, with properties calculated at the GGA-PBE level.

Properties
SG = I4/mcm (140)
energy of formation from the pure elements = 0.308 eV/atom
final energy = -83.60 eV/cell
calculated density = 7.81 g/cm³
N(E_F) = 11.20 states/eV/f.u.

abc: 8.825 8.825 9.614
angles: 117.32 117.32 90.00
Fractional positions:
Sm 0.250 0.250 0.500
Sm 0.750 0.750 0.500
Y 0.114 0.386 0.000
Y 0.614 0.114 0.000
Y 0.386 0.886 0.000
Y 0.886 0.614 0.000
Er 0.250 0.750 0.500
Er 0.750 0.250 0.500
Tm 0.928 0.428 0.269
Tm 0.659 0.159 0.731
Tm 0.072 0.572 0.731
Tm 0.159 0.072 0.731
Tm 0.572 0.659 0.731
Tm 0.841 0.928 0.269
Tm 0.428 0.341 0.269
Tm 0.341 0.841 0.269
Tm 0.500 0.500 0.000
Tm 0.000 0.000 0.000


Record 6
Below is a geometry-optimized Sm6YEr3Tm2 structure, with properties calculated at the GGA-PBE level.

Properties
SG = C2/m (12)
energy of formation from the pure elements = 0.016 eV/atom
final energy = -57.22 eV/cell
calculated density = 7.91 g/cm³
N(E_F) = 13.90 states/eV/f.u.

abc: 6.196 6.196 11.742
angles: 95.03 95.03 119.98
Fractional positions:
Sm 0.916 0.582 0.750
Sm 0.750 0.750 0.250
Sm 0.084 0.418 0.250
Sm 0.582 0.916 0.750
Sm 0.250 0.250 0.750
Sm 0.418 0.084 0.250
Y 0.000 0.000 0.000
Er 0.167 0.833 0.500
Er 0.833 0.167 0.500
Er 0.500 0.500 0.500
Tm 0.333 0.667 0.000
Tm 0.667 0.333 0.000


Record 7
Below is a geometry-optimized SmY2Er6Tm structure, with properties calculated at the GGA-PBE level.

Properties
SG = C2/c (15)
energy of formation from the pure elements = 0.126 eV/atom
final energy = -96.47 eV/cell
calculated density = 7.88 g/cm³
N(E_F) = 14.64 states/eV/f.u.

abc: 9.412 8.732 8.732
angles: 117.52 93.29 93.29
Fractional positions:
Sm 0.250 0.973 0.027
Sm 0.750 0.027 0.973
Y 0.453 0.800 0.696
Y 0.047 0.304 0.200
Y 0.547 0.200 0.304
Y 0.953 0.696 0.800
Er 0.058 0.125 0.753
Er 0.442 0.247 0.875
Er 0.942 0.875 0.247
Er 0.558 0.753 0.125
Er 0.315 0.984 0.434
Er 0.185 0.566 0.016
Er 0.685 0.016 0.566
Er 0.815 0.434 0.984
Er 0.117 0.710 0.488
Er 0.383 0.512 0.290
Er 0.883 0.290 0.512
Er 0.617 0.488 0.710
Tm 0.250 0.410 0.590
Tm 0.750 0.590 0.410


Record 8
Below is a geometry-optimized Sm3Y6ErTm2 structure, with properties calculated at the GGA-PBE level.

Properties
SG = C2/m (12)
energy of formation from the pure elements = 0.022 eV/atom
final energy = -66.18 eV/cell
calculated density = 6.43 g/cm³
N(E_F) = 17.56 states/eV/f.u.

abc: 6.178 6.178 11.808
angles: 94.99 94.99 119.95
Fractional positions:
Sm 0.167 0.833 0.500
Sm 0.833 0.167 0.500
Sm 0.500 0.500 0.500
Y 0.918 0.584 0.753
Y 0.749 0.749 0.247
Y 0.082 0.416 0.247
Y 0.584 0.918 0.753
Y 0.251 0.251 0.753
Y 0.416 0.082 0.247
Er 0.000 0.000 0.000
Tm 0.333 0.667 0.000
Tm 0.667 0.333 0.000


Record 9
Below is a geometry-optimized Sm2Y6Er2Tm structure, with properties calculated at the GGA-PBE level.

Properties
SG = Cmmm (65)
energy of formation from the pure elements = 0.145 eV/atom
final energy = -60.22 eV/cell
calculated density = 6.18 g/cm³
N(E_F) = 18.60 states/eV/f.u.

abc: 6.639 6.639 12.009
angles: 101.54 101.54 129.66
Fractional positions:
Sm 0.865 0.135 0.000
Sm 0.135 0.865 0.000
Y 0.704 0.704 0.704
Y 0.136 0.443 0.789
Y 0.296 0.296 0.296
Y 0.443 0.136 0.789
Y 0.864 0.557 0.211
Y 0.557 0.864 0.211
Er 0.295 0.705 0.500
Er 0.705 0.295 0.500
Tm 0.000 0.000 0.500


Record 10
Below is a geometry-optimized SmYEr2Tm structure, with properties calculated at the GGA-PBE level.

Properties
SG = Cmcm (63)
energy of formation from the pure elements = 0.407 eV/atom
final energy = -45.49 eV/cell
calculated density = 7.22 g/cm³
N(E_F) = 7.15 states/eV/f.u.

abc: 7.191 8.344 7.056
angles: 126.25 90.00 90.00
Fractional positions:
Sm 0.250 0.727 0.454
Sm 0.750 0.273 0.546
Y 0.250 0.002 0.004
Y 0.750 0.998 0.996
Er 0.500 0.311 0.000
Er 0.000 0.689 0.000
Er 0.500 0.689 0.000
Er 0.000 0.311 0.000
Tm 0.750 0.719 0.437
Tm 0.250 0.281 0.563


Record 11
Below is a geometry-optimized Sm6Y2Er3Tm structure, with properties calculated at the GGA-PBE level.

Properties
SG = C2/m (12)
energy of formation from the pure elements = 0.015 eV/atom
final energy = -59.22 eV/cell
calculated density = 7.52 g/cm³
N(E_F) = 14.16 states/eV/f.u.

abc: 6.206 6.206 11.770
angles: 95.02 95.02 119.98
Fractional positions:
Sm 0.916 0.584 0.749
Sm 0.752 0.752 0.251
Sm 0.084 0.416 0.251
Sm 0.584 0.916 0.749
Sm 0.248 0.248 0.749
Sm 0.416 0.084 0.251
Y 0.333 0.667 0.000
Y 0.667 0.333 0.000
Er 0.167 0.833 0.500
Er 0.833 0.167 0.500
Er 0.500 0.500 0.500
Tm 0.000 0.000 0.000


Record 12
Below is a geometry-optimized SmY6Er2Tm3 structure, with properties calculated at the GGA-PBE level.

Properties
SG = C2/m (12)
energy of formation from the pure elements = 0.026 eV/atom
final energy = -65.73 eV/cell
calculated density = 6.71 g/cm³
N(E_F) = 17.68 states/eV/f.u.

abc: 6.135 6.135 11.753
angles: 94.98 94.98 119.94
Fractional positions:
Sm 0.000 0.000 0.000
Y 0.916 0.582 0.748
Y 0.750 0.750 0.252
Y 0.084 0.418 0.252
Y 0.582 0.916 0.748
Y 0.250 0.250 0.748
Y 0.418 0.084 0.252
Er 0.333 0.667 0.000
Er 0.667 0.333 0.000
Tm 0.167 0.833 0.500
Tm 0.833 0.167 0.500
Tm 0.500 0.500 0.500